No. 1
DFT (PBE-GGA) results for a relaxed structure of Te2BrF.

The space group is I-42d (No. 122) and the conventional cell measures 5.045, 5.045 and 18.110 Å, with angles of 90.00, 90.00 and 90.00 degrees. The distinct sites, in fractional coordinates, are Te at (0.139, 0.250, 0.125), Br at (0.000, 0.000, 0.500) and F at (0.000, 0.000, 0.000).

Its energy above the lowest structure with this stoichiometry is 0.213 eV/atom.

No. 2
DFT (PBE-GGA) results for a relaxed structure of Te2BrF.

The space group is Fm-3m (No. 225) and the conventional cell measures 7.134, 7.134 and 7.134 Å, with angles of 90.00, 90.00 and 90.00 degrees. The distinct sites, in fractional coordinates, are Te at (0.250, 0.250, 0.250), Br at (0.000, 0.000, 0.000) and F at (0.000, 0.000, 0.500).

Its energy above the lowest structure with this stoichiometry is 0.527 eV/atom.

No. 3
DFT (PBE-GGA) results for a relaxed structure of TeBrF3.

The space group is Pm-3m (No. 221) and the conventional cell measures 4.403, 4.403 and 4.403 Å, with angles of 90.00, 90.00 and 90.00 degrees. The distinct sites, in fractional coordinates, are Te at (0.000, 0.000, 0.000), Br at (0.500, 0.500, 0.500) and F at (0.000, 0.000, 0.500).

Its energy above the lowest structure with this stoichiometry is 0.477 eV/atom.

No. 4
DFT (PBE-GGA) results for a relaxed structure of Te3BrF.

The space group is Pm-3m (No. 221) and the conventional cell measures 5.027, 5.027 and 5.027 Å, with angles of 90.00, 90.00 and 90.00 degrees. The distinct sites, in fractional coordinates, are Te at (0.000, 0.000, 0.500), Br at (0.500, 0.500, 0.500) and F at (0.000, 0.000, 0.000).

Its energy above the lowest structure with this stoichiometry is 0.000 eV/atom.

No. 5
DFT (PBE-GGA) results for a relaxed structure of TeBr3F.

The space group is Cmcm (No. 63) and the conventional cell measures 10.107, 8.444 and 8.032 Å, with angles of 90.00, 90.00 and 90.00 degrees. The distinct sites, in fractional coordinates, are Te at (0.000, 0.014, 0.250), Br at (0.000, 0.328, 0.250), Br at (0.195, 0.000, 0.000) and F at (0.000, 0.223, 0.750).

Its energy above the lowest structure with this stoichiometry is 0.037 eV/atom.

No. 6
DFT (PBE-GGA) results for a relaxed structure of TeBrF2.

The space group is R-3m (No. 166, hexagonal axes) and the conventional cell measures 3.2195, 3.2195 and 31.3155 Å, with angles of 90.00, 90.00 and 120.00 degrees. The distinct sites, in fractional coordinates, are Te at (0.0000, 0.0000, 0.0000), Br at (0.0000, 0.0000, 0.5000) and F at (0.0000, 0.0000, 0.0633).

Its energy above the lowest structure with this stoichiometry is 0.038 eV/atom.

No. 7
DFT (PBE-GGA) results for a relaxed structure of Te2BrF.

The space group is R-3m (No. 166, hexagonal axes) and the conventional cell measures 4.7419, 4.7419 and 20.7650 Å, with angles of 90.00, 90.00 and 120.00 degrees. The distinct sites, in fractional coordinates, are Te at (0.0000, 0.0000, 0.1393), Br at (0.0000, 0.0000, 0.0000) and F at (0.0000, 0.0000, 0.5000).

Its energy above the lowest structure with this stoichiometry is 0.000 eV/atom.

No. 8
DFT (PBE-GGA) results for a relaxed structure of TiTe2BrF.

The space group is P4/mmm (No. 123) and the conventional cell measures 5.474, 5.474 and 3.973 Å, with angles of 90.00, 90.00 and 90.00 degrees. The distinct sites, in fractional coordinates, are Ti at (0.000, 0.000, 0.000), Te at (0.000, 0.500, 0.000), Br at (0.500, 0.500, 0.500) and F at (0.000, 0.000, 0.500).

The value obtained for the total energy is -4.4551 eV/atom.

No. 9
DFT (PBE-GGA) results for a relaxed structure of Tl4TeBrF.

The space group is P2_1/m (No. 11) and the conventional cell measures 7.435, 7.248 and 9.438 Å, with angles of 90.00, 109.61 and 90.00 degrees. The distinct sites, in fractional coordinates, are Tl at (0.047, 0.012, 0.253), Tl at (0.395, 0.250, 0.619), Tl at (0.396, 0.250, 0.078), Te at (0.255, 0.750, 0.058), Br at (0.277, 0.750, 0.570) and F at (0.185, 0.250, 0.788).

The value obtained for the total energy is -3.1574 eV/atom.

No. 10
DFT (PBE-GGA) results for a relaxed structure of TlTeBr2F.

The space group is P4/mmm (No. 123) and the conventional cell measures 5.921, 5.921 and 4.542 Å, with angles of 90.00, 90.00 and 90.00 degrees. The distinct sites, in fractional coordinates, are Tl at (0.000, 0.000, 0.000), Te at (0.500, 0.500, 0.500), Br at (0.000, 0.500, 0.500) and F at (0.500, 0.500, 0.000).

The value obtained for the total energy is -2.9137 eV/atom.

No. 11
DFT (PBE-GGA) results for a relaxed structure of Zr2TeBrF.

The space group is P4/mmm (No. 123) and the conventional cell measures 5.366, 5.366 and 5.827 Å, with angles of 90.00, 90.00 and 90.00 degrees. The distinct sites, in fractional coordinates, are Zr at (0.000, 0.500, 0.000), Te at (0.000, 0.000, 0.000), Br at (0.000, 0.000, 0.500) and F at (0.500, 0.500, 0.500).

The value obtained for the total energy is -4.3603 eV/atom.

No. 12
DFT (PBE-GGA) results for a relaxed structure of ThBr3F.

The space group is P2_1/m (No. 11) and the conventional cell measures 4.130, 10.322 and 9.098 Å, with angles of 90.00, 103.09 and 90.00 degrees. The distinct sites, in fractional coordinates, are Th at (0.130, 0.250, 0.259), Br at (0.144, 0.515, 0.287), Br at (0.489, 0.750, 0.979) and F at (0.310, 0.750, 0.621).

The value obtained for the total energy is -5.0981 eV/atom.